Material: CoTeO2
Method: DFT, GGA+U
State: relaxed

* calculated total energy: -0.1821 hartree per atom
* total moment: 11.8 Bohr magnetons per cell

Geometry as CIF:
```
data_CoTeO2
_chemical_formula_sum 'Co4 Te4 O8'
_cell_length_a 5.326
_cell_length_b 5.326
_cell_length_c 8.595
_cell_angle_alpha 90.00
_cell_angle_beta 90.00
_cell_angle_gamma 90.00
_space_group_name_H-M_alt 'I -4 2 d'
_space_group_IT_number 122
_space_group_name_Hall 'I -4 2bw'
loop_
_atom_site_label
_atom_site_type_symbol
_atom_site_fract_x
_atom_site_fract_y
_atom_site_fract_z
Co1 Co 0.000 0.000 0.000
Te1 Te 0.000 0.000 0.500
O1 O 0.180 0.250 0.125
```